No. 1
The following is a DFT calculation (SCAN) of a crystal of Y2NiMo relaxed with PBEsol.

Cell lengths 4.7814, 4.7814, 4.7814 Å; angles 60.00, 60.00, 60.00 degrees
Closest atoms and distances in Å follow each position.
Fractional positions:
Y 0.2500 0.2500 0.2500  4 Mo 2.93, 4 Ni 2.93
Y 0.7500 0.7500 0.7500  4 Mo 2.93, 4 Ni 2.93
Ni 0.0000 0.0000 0.0000  8 Y 2.93
Mo 0.5000 0.5000 0.5000  8 Y 2.93

Results
Space-group type: No. 225
ΔE to the lowest computed polymorph (meV/atom): 90
Formation enthalpy at 0 K (eV per atom): 0.280

=====

No. 2
The following is a DFT calculation (SCAN) of a crystal of CuRh2W relaxed with PBEsol.

Cell lengths 4.5263, 4.5263, 4.5263 Å; angles 129.46, 129.46, 74.28 degrees
Closest atoms and distances in Å follow each position.
Fractional positions:
Cu 0.0000 0.0000 0.0000  8 Rh 2.64, 4 W 2.73
Rh 0.2500 0.7500 0.5000  4 W 2.64, 4 Cu 2.64, 4 Rh 2.73
Rh 0.7500 0.2500 0.5000  4 W 2.64, 4 Cu 2.64, 4 Rh 2.73
W 0.5000 0.5000 0.0000  8 Rh 2.64, 4 Cu 2.73

Results
Space-group type: No. 139
ΔE to the lowest computed polymorph (meV/atom): 0
Formation enthalpy at 0 K (eV per atom): -0.182

=====

No. 3
The following is a DFT calculation (SCAN) of a crystal of Sc3BiC relaxed with PBEsol.

Cell lengths 4.5201, 4.5201, 4.5201 Å; angles 90.00, 90.00, 90.00 degrees
Closest atoms and distances in Å follow each position.
Fractional positions:
Sc 0.0000 0.0000 0.5000  2 C 2.26
Sc 0.0000 0.5000 0.0000  2 C 2.26
Sc 0.5000 0.0000 0.0000  2 C 2.26
Bi 0.5000 0.5000 0.5000  12 Sc 3.20
C 0.0000 0.0000 0.0000  6 Sc 2.26

Results
Space-group type: No. 221
Formation enthalpy at 0 K (eV per atom): -0.768

=====

No. 4
The following is a DFT calculation (SCAN) of a crystal of Zr2MoBr relaxed with PBEsol.

Cell lengths 4.8903, 4.8903, 3.2324 Å; angles 95.96, 95.96, 99.55 degrees
Closest atoms and distances in Å follow each position.
Fractional positions:
Zr 0.0000 0.5000 0.0000  4 Mo 2.79-3.07, 4 Br 2.79-3.07
Zr 0.5000 0.0000 0.0000  4 Mo 2.79-3.07, 4 Br 2.79-3.07
Mo 0.0000 0.0000 0.5000  8 Zr 2.79-3.07
Br 0.5000 0.5000 0.5000  8 Zr 2.79-3.07

Results
Formation energy (no corrections) (eV/f.u.): 0.4
Space-group type: No. 12
ΔE to the lowest computed polymorph (meV/atom): 328